The following is a PBE-GGA calculation of an optimized crystal structure of DyZrC2, from Alexandria via LeMat-Bulk.

Summary:
energy above the most stable polymorph in this dataset	1.357	eV/f.u.
M_tot	0.0	μB per cell
raw total energy	-7.951	eV/atom
density of states at the Fermi level	3.44	states/eV per cell
DFT formation energy	-0.052	eV/atom

Lattice parameters (Å, degrees): 3.4946 3.4946 6.0542 73.23 73.23 60.00
Positions (direct):
1 Dy 0.6727 0.6727 0.9819
2 Zr 0.4979 0.4979 0.5064
3 C 0.2372 0.2372 0.2883
4 C 0.0922 0.0922 0.7234